# 1
ZnPbSeF2 | PBE-GGA | optimized geometry

Calculated values
**Space-group type**: P4/mmm, No. 123
**V**: 138.76 Å³/cell
**E_form (uncorrected)**: -0.902 eV per atom

Cell: 4.390 4.390 7.201 Å, 90.00 90.00 90.00°
Atoms (fractional coordinates):
Zn  0.000  0.000  0.000
Pb  0.000  0.000  0.500
Se  0.500  0.500  0.000
F  0.000  0.500  0.500
F  0.500  0.000  0.500



# 2
Si2PbF2 | PBE-GGA | optimized geometry

Calculated values
**Space-group type**: P4/mbm, No. 127
**V**: 198.36 Å³/cell
**E_form (uncorrected)**: -0.595 eV per atom
**ΔE to the lowest computed polymorph**: 254 meV per atom

Cell: 8.348 8.348 2.846 Å, 90.00 90.00 90.00°
Atoms (fractional coordinates):
Si  0.236  0.264  0.000
Si  0.264  0.764  0.000
Si  0.736  0.236  0.000
Si  0.764  0.736  0.000
Pb  0.000  0.000  0.500
Pb  0.500  0.500  0.500
F  0.116  0.384  0.500
F  0.384  0.884  0.500
F  0.616  0.116  0.500
F  0.884  0.616  0.500



# 3
SiPb2F | PBE-GGA | optimized geometry

Calculated values
**Space-group type**: Fm-3m, No. 225
**V**: 344.40 Å³/cell
**E_form (uncorrected)**: -0.476 eV per atom
**ΔE to the lowest computed polymorph**: 0 meV per atom

Cell: 7.009 7.009 7.009 Å, 90.00 90.00 90.00°
Atoms (fractional coordinates):
Si  0.000  0.000  0.000
Si  0.000  0.500  0.500
Si  0.500  0.000  0.500
Si  0.500  0.500  0.000
Pb  0.250  0.250  0.250
Pb  0.250  0.250  0.750
Pb  0.250  0.750  0.250
Pb  0.250  0.750  0.750
Pb  0.750  0.250  0.250
Pb  0.750  0.250  0.750
Pb  0.750  0.750  0.250
Pb  0.750  0.750  0.750
F  0.000  0.000  0.500
F  0.000  0.500  0.000
F  0.500  0.000  0.000
F  0.500  0.500  0.500



Per-record raw total energy, eV/atom: -3.3441, -4.2545, -4.1536